Here is an optimized crystal structure of Tb2GdNi from Alexandria. Energies are from PBE.

**Formation energy from the elements**: -0.154 eV/atom

```
data_Tb2GdNi
_space_group_name_H-M_alt 'P 4/m m m'
_space_group_IT_number 123
_space_group_name_Hall '-P 4 2'
_cell_length_a 3.468
_cell_length_b 3.468
_cell_length_c 8.698
_cell_angle_alpha 90.00
_cell_angle_beta 90.00
_cell_angle_gamma 90.00
loop_
_atom_site_label
_atom_site_fract_x
_atom_site_fract_y
_atom_site_fract_z
Tb1 0.000 0.000 0.185
Gd1 0.500 0.500 0.500
Ni1 0.500 0.500 0.000
```

***

Here is an optimized crystal structure of CoNi2Cl from Alexandria. Energies are from PBE.

**Formation energy without anion corrections**: 0.625 eV per atom

```
data_CoNi2Cl
_space_group_name_H-M_alt 'P 4/m m m'
_space_group_IT_number 123
_space_group_name_Hall '-P 4 2'
_cell_length_a 4.306
_cell_length_b 4.306
_cell_length_c 2.728
_cell_angle_alpha 90.00
_cell_angle_beta 90.00
_cell_angle_gamma 90.00
loop_
_atom_site_label
_atom_site_fract_x
_atom_site_fract_y
_atom_site_fract_z
Co1 0.000 0.000 0.000
Ni1 0.000 0.500 0.500
Cl1 0.500 0.500 0.000
```

***

Here is an optimized crystal structure of ThPaCu4 from Alexandria. Energies are from PBE.

**Formation energy from the elements**: -0.004 eV/atom

```
data_ThPaCu4
_space_group_name_H-M_alt 'F -4 3 m'
_space_group_IT_number 216
_space_group_name_Hall 'F -4 2 3'
_cell_length_a 7.461
_cell_length_b 7.461
_cell_length_c 7.461
_cell_angle_alpha 90.00
_cell_angle_beta 90.00
_cell_angle_gamma 90.00
loop_
_atom_site_label
_atom_site_fract_x
_atom_site_fract_y
_atom_site_fract_z
Th1 0.000 0.000 0.000
Pa1 0.250 0.250 0.250
Cu1 0.125 0.125 0.625
```

***

Here is an optimized crystal structure of ScCdPb from Alexandria. Energies are from PBE.

**Formation energy from the elements**: -0.050 eV/atom

```
data_ScCdPb
_space_group_name_H-M_alt 'P 3 m 1'
_space_group_IT_number 156
_cell_length_a 3.3962
_cell_length_b 3.3962
_cell_length_c 7.7207
_cell_angle_alpha 90.00
_cell_angle_beta 90.00
_cell_angle_gamma 120.00
loop_
_space_group_symop_operation_xyz
'x,y,z'
'-y,x-y,z'
'-x+y,-x,z'
'-y,-x,z'
'-x+y,y,z'
'x,x-y,z'
loop_
_atom_site_label
_atom_site_fract_x
_atom_site_fract_y
_atom_site_fract_z
Sc1 0.0000 0.0000 0.0000
Cd1 0.6667 0.3333 0.3139
Pb1 0.3333 0.6667 0.6668
```

***

Here is an optimized crystal structure of Sm4ErTl2 from Alexandria. Energies are from PBE.

**Formation energy from the elements**: 0.088 eV/atom

```
data_Sm4ErTl2
_space_group_name_H-M_alt 'P -1'
_space_group_IT_number 2
_cell_length_a 6.195
_cell_length_b 6.294
_cell_length_c 6.322
_cell_angle_alpha 114.65
_cell_angle_beta 93.81
_cell_angle_gamma 94.16
loop_
_space_group_symop_operation_xyz
'x,y,z'
'-x,-y,-z'
loop_
_atom_site_label
_atom_site_fract_x
_atom_site_fract_y
_atom_site_fract_z
Sm1 0.000 0.000 0.000
Sm2 0.000 0.500 0.500
Sm3 0.500 0.207 0.291
Er1 0.000 0.000 0.500
Tl1 0.269 0.583 0.082
```

***

Here is an optimized crystal structure of Zn3GaCu3 from Alexandria. Energies are from PBE.

**Formation energy from the elements**: -0.056 eV/atom

```
data_Zn3GaCu3
_space_group_name_H-M_alt 'C m m m'
_space_group_IT_number 65
_space_group_name_Hall '-C 2 2'
_cell_length_a 8.282
_cell_length_b 8.304
_cell_length_c 5.788
_cell_angle_alpha 90.00
_cell_angle_beta 90.00
_cell_angle_gamma 90.00
loop_
_atom_site_label
_atom_site_fract_x
_atom_site_fract_y
_atom_site_fract_z
Zn1 0.000 0.235 0.000
Zn2 0.229 0.000 0.500
Zn3 0.235 0.000 0.000
Ga1 0.000 0.231 0.500
Cu1 0.000 0.500 0.259
Cu2 0.250 0.250 0.248
```

***

Here is an optimized crystal structure of Pm7HoSc3 from Alexandria. Energies are from PBE.

**Formation energy from the elements**: 0.240 eV/atom

```
data_Pm7HoSc3
_space_group_name_H-M_alt 'I m m m'
_space_group_IT_number 71
_space_group_name_Hall '-I 2 2'
_cell_length_a 5.811
_cell_length_b 10.768
_cell_length_c 11.302
_cell_angle_alpha 90.00
_cell_angle_beta 90.00
_cell_angle_gamma 90.00
loop_
_atom_site_label
_atom_site_fract_x
_atom_site_fract_y
_atom_site_fract_z
Pm1 0.000 0.000 0.000
Pm2 0.000 0.197 0.500
Pm3 0.000 0.312 0.210
Ho1 0.000 0.500 0.500
Sc1 0.000 0.000 0.289
Sc2 0.000 0.500 0.000
```

***

Here is an optimized crystal structure of NdNi3Ge2 from Alexandria. Energies are from PBE.

**Formation energy from the elements**: -0.587 eV/atom

```
data_NdNi3Ge2
_space_group_name_H-M_alt 'C 1 2/m 1'
_space_group_IT_number 12
_cell_length_a 15.812
_cell_length_b 3.926
_cell_length_c 9.574
_cell_angle_alpha 90.00
_cell_angle_beta 107.34
_cell_angle_gamma 90.00
loop_
_space_group_symop_operation_xyz
'x,y,z'
'-x,-y,-z'
'-x,y,-z'
'x,-y,z'
'x+1/2,y+1/2,z'
'-x+1/2,-y+1/2,-z'
'-x+1/2,y+1/2,-z'
'x+1/2,-y+1/2,z'
loop_
_atom_site_label
_atom_site_fract_x
_atom_site_fract_y
_atom_site_fract_z
Nd1 0.000 0.000 0.000
Nd2 0.156 0.000 0.701
Ni1 0.000 0.500 0.500
Ni2 0.049 0.000 0.345
Ni3 0.127 0.500 0.204
Ni4 0.176 0.500 0.970
Ni5 0.214 0.000 0.390
Ge1 0.030 0.500 0.773
Ge2 0.141 0.500 0.454
Ge3 0.200 0.000 0.129
```

***

Here is an optimized crystal structure of Ac2TlPd3Au12 from Alexandria. Energies are from PBE.

**Formation energy from the elements**: -0.001 eV/atom

```
data_Ac2TlPd3Au12
_space_group_name_H-M_alt 'R -3 m'
_space_group_IT_number 166
_space_group_name_Hall '-R 3 2"'
_cell_length_a 8.9742
_cell_length_b 8.9742
_cell_length_c 19.8401
_cell_angle_alpha 90.00
_cell_angle_beta 90.00
_cell_angle_gamma 120.00
loop_
_atom_site_label
_atom_site_fract_x
_atom_site_fract_y
_atom_site_fract_z
Ac1 0.0000 0.0000 0.1106
Tl1 0.0000 0.0000 0.5000
Pd1 0.0000 0.5000 0.0000
Au1 0.0031 0.5016 0.3652
Au2 0.0204 0.5102 0.8679
```

***

Here is an optimized crystal structure of CeHAu from Alexandria. Energies are from PBE.

**Electronic total energy**: -28.85 eV for the cell shown

```
data_CeHAu
_space_group_name_H-M_alt 'P 4/n m m'
_space_group_IT_number 129
_cell_length_a 3.898
_cell_length_b 3.898
_cell_length_c 7.148
_cell_angle_alpha 90.00
_cell_angle_beta 90.00
_cell_angle_gamma 90.00
loop_
_space_group_symop_operation_xyz
'x,y,z'
'-x,-y,-z'
'-y+1/2,x,z'
'y+1/2,-x,-z'
'-x+1/2,-y+1/2,z'
'x+1/2,y+1/2,-z'
'y,-x+1/2,z'
'-y,x+1/2,-z'
'x+1/2,-y,-z'
'-x+1/2,y,z'
'-y,-x,-z'
'y,x,z'
'-x,y+1/2,-z'
'x,-y+1/2,z'
'y+1/2,x+1/2,-z'
'-y+1/2,-x+1/2,z'
loop_
_atom_site_label
_atom_site_fract_x
_atom_site_fract_y
_atom_site_fract_z
Ce1 0.250 0.250 0.183
H1 0.250 0.750 0.000
Au1 0.250 0.250 0.618
```

***

Here is an optimized crystal structure of TiMnFeMo from Alexandria. Energies are from PBE.

**Formation energy from the elements**: -0.125 eV/atom

```
data_TiMnFeMo
_space_group_name_H-M_alt 'F -4 3 m'
_space_group_IT_number 216
_space_group_name_Hall 'F -4 2 3'
_cell_length_a 5.956
_cell_length_b 5.956
_cell_length_c 5.956
_cell_angle_alpha 90.00
_cell_angle_beta 90.00
_cell_angle_gamma 90.00
loop_
_atom_site_label
_atom_site_fract_x
_atom_site_fract_y
_atom_site_fract_z
Ti1 0.000 0.000 0.000
Mn1 0.250 0.250 0.750
Fe1 0.250 0.250 0.250
Mo1 0.000 0.000 0.500
```

***

Here is an optimized crystal structure of NiAs2Br from Alexandria. Energies are from PBE.

**Formation energy without anion corrections**: 0.200 eV per atom

```
data_NiAs2Br
_space_group_name_H-M_alt 'P 4 m m'
_space_group_IT_number 99
_cell_length_a 3.389
_cell_length_b 3.389
_cell_length_c 7.162
_cell_angle_alpha 90.00
_cell_angle_beta 90.00
_cell_angle_gamma 90.00
loop_
_space_group_symop_operation_xyz
'x,y,z'
'-y,x,z'
'-x,-y,z'
'y,-x,z'
'-x,y,z'
'y,x,z'
'x,-y,z'
'-y,-x,z'
loop_
_atom_site_label
_atom_site_fract_x
_atom_site_fract_y
_atom_site_fract_z
Ni1 0.000 0.000 0.000
As1 0.000 0.000 0.337
As2 0.500 0.500 0.148
Br1 0.500 0.500 0.750
```